Record 1
CsTlBr6 | PBE | optimized geometry

E_tot in eV per atom: -2.149
Total magnetization in μB per atom: 0.248
Raw formation energy in eV/atom: -0.492

a = 6.798 Å, b = 6.798 Å, c = 6.798 Å
α = 95.75°, β = 95.75°, γ = 95.75°
Site moments in Bohr magnetons follow the coordinates.
Fractional coordinates of all 8 atoms:
Br 0.791 0.791 0.417  0.25
Br 0.417 0.791 0.791  0.25
Br 0.583 0.209 0.209  0.25
Br 0.209 0.209 0.583  0.25
Br 0.791 0.417 0.791  0.25
Br 0.209 0.583 0.209  0.25
Cs 0.000 0.000 0.000  0.00
Tl 0.500 0.500 0.500  -0.01

Record 2
Cs2TlBr2 | PBE | optimized geometry

E_tot in eV per atom: -2.666
Total magnetization in μB per atom: 0.001
Raw formation energy in eV/atom: -1.183

a = 9.538 Å, b = 9.538 Å, c = 4.834 Å
α = 90.00°, β = 90.00°, γ = 90.00°
Fractional coordinates of all 10 atoms:
Cs 0.348 0.848 0.500
Cs 0.848 0.652 0.500
Cs 0.152 0.348 0.500
Cs 0.652 0.152 0.500
Tl 0.500 0.500 0.000
Tl 0.000 0.000 0.000
Br 0.154 0.654 0.000
Br 0.846 0.346 0.000
Br 0.346 0.154 0.000
Br 0.654 0.846 0.000

Record 3
Cs2Tl3Br6 | PBE | optimized geometry

E_tot in eV per atom: -2.784
Total magnetization in μB per atom: 0.000
Raw formation energy in eV/atom: -1.071

a = 6.036 Å, b = 9.273 Å, c = 9.273 Å
α = 120.00°, β = 90.00°, γ = 90.00°
Fractional coordinates of all 11 atoms:
Br 0.000 0.753 0.753
Br 0.500 0.579 0.000
Br 0.500 0.421 0.421
Br 0.000 0.000 0.247
Br 0.000 0.247 0.000
Br 0.500 0.000 0.579
Cs 0.000 0.667 0.333
Cs 0.000 0.333 0.667
Tl 0.500 0.750 0.750
Tl 0.500 0.250 0.000
Tl 0.500 0.000 0.250

Record 4
CsTl2Br | PBE | optimized geometry

E_tot in eV per atom: -2.032
Total magnetization in μB per atom: 0.000
Raw formation energy in eV/atom: -0.217

a = 6.060 Å, b = 6.060 Å, c = 6.060 Å
α = 60.00°, β = 60.00°, γ = 60.00°
Fractional coordinates of all 4 atoms:
Tl 0.750 0.750 0.750
Tl 0.250 0.250 0.250
Cs 0.500 0.500 0.500
Br 0.000 0.000 0.000

Record 5
Cs3Tl5Br12 | PBE | optimized geometry

E_tot in eV per atom: -2.698
Total magnetization in μB per atom: 0.000
Raw formation energy in eV/atom: -0.975

a = 16.851 Å, b = 16.851 Å, c = 16.851 Å
α = 109.47°, β = 109.47°, γ = 109.47°
Fractional coordinates of all 80 atoms:
Br 0.411 0.119 0.598
Br 0.411 0.292 0.313
Br 0.089 0.187 0.208
Br 0.479 0.687 0.098
Br 0.208 0.687 0.089
Br 0.598 0.979 0.687
Br 0.792 0.313 0.911
Br 0.619 0.598 0.911
Br 0.119 0.708 0.521
Br 0.098 0.911 0.119
Br 0.521 0.313 0.902
Br 0.521 0.208 0.119
Br 0.381 0.402 0.089
Br 0.313 0.792 0.411
Br 0.792 0.479 0.381
Br 0.902 0.813 0.521
Br 0.708 0.589 0.187
Br 0.313 0.521 0.402
Br 0.021 0.619 0.708
Br 0.089 0.902 0.381
Br 0.402 0.381 0.589
Br 0.021 0.402 0.813
Br 0.911 0.098 0.619
Br 0.589 0.881 0.402
Br 0.687 0.208 0.589
Br 0.902 0.089 0.881
Br 0.813 0.902 0.021
Br 0.687 0.479 0.598
Br 0.402 0.021 0.313
Br 0.187 0.089 0.708
Br 0.187 0.098 0.979
Br 0.119 0.411 0.098
Br 0.881 0.589 0.902
Br 0.479 0.792 0.881
Br 0.881 0.292 0.479
Br 0.979 0.598 0.187
Br 0.813 0.911 0.292
Br 0.911 0.813 0.792
Br 0.292 0.411 0.813
Br 0.098 0.187 0.479
Br 0.292 0.881 0.979
Br 0.208 0.521 0.619
Br 0.979 0.381 0.292
Br 0.598 0.619 0.411
Br 0.619 0.021 0.208
Br 0.708 0.119 0.021
Br 0.381 0.979 0.792
Br 0.589 0.708 0.687
Cs 0.375 0.625 0.250
Cs 0.875 0.125 0.250
Cs 0.250 0.125 0.375
Cs 0.625 0.250 0.375
Cs 0.375 0.750 0.625
Cs 0.625 0.375 0.750
Cs 0.125 0.250 0.875
Cs 0.750 0.875 0.625
Cs 0.250 0.625 0.875
Cs 0.875 0.750 0.125
Cs 0.750 0.375 0.125
Cs 0.125 0.875 0.750
Tl 0.000 0.500 0.000
Tl 0.875 0.250 0.625
Tl 0.375 0.250 0.125
Tl 0.250 0.375 0.625
Tl 0.500 0.500 0.500
Tl 0.500 0.000 0.500
Tl 0.250 0.875 0.125
Tl 0.000 0.000 0.500
Tl 0.375 0.125 0.750
Tl 0.500 0.000 0.000
Tl 0.875 0.625 0.750
Tl 0.750 0.125 0.875
Tl 0.000 0.500 0.500
Tl 0.750 0.625 0.375
Tl 0.125 0.375 0.250
Tl 0.625 0.750 0.875
Tl 0.125 0.750 0.375
Tl 0.625 0.875 0.250
Tl 0.500 0.500 0.000
Tl 0.000 0.000 0.000

Record 6
Cs2Tl3Br8 | PBE | optimized geometry

E_tot in eV per atom: -2.656
Total magnetization in μB per atom: 0.000
Raw formation energy in eV/atom: -0.949

a = 5.776 Å, b = 5.776 Å, c = 16.939 Å
α = 90.00°, β = 90.00°, γ = 90.00°
Fractional coordinates of all 13 atoms:
Br 0.000 0.500 0.356
Br 0.500 0.000 0.644
Br 0.500 0.000 0.000
Br 0.500 0.500 0.825
Br 0.500 0.000 0.356
Br 0.000 0.500 0.000
Br 0.000 0.500 0.644
Br 0.500 0.500 0.175
Tl 0.500 0.500 0.348
Tl 0.500 0.500 0.000
Tl 0.500 0.500 0.652
Cs 0.000 0.000 0.193
Cs 0.000 0.000 0.807

Record 7
CsTl2Br2 | PBE | optimized geometry

E_tot in eV per atom: -2.718
Total magnetization in μB per atom: 0.000
Raw formation energy in eV/atom: -0.932

a = 4.586 Å, b = 4.586 Å, c = 9.928 Å
α = 76.65°, β = 76.65°, γ = 90.00°
Fractional coordinates of all 5 atoms:
Cs 0.000 0.000 0.000
Br 0.393 0.393 0.214
Br 0.607 0.607 0.786
Tl 0.750 0.250 0.500
Tl 0.250 0.750 0.500

Record 8
CsTlBr4 | PBE | optimized geometry

E_tot in eV per atom: -2.625
Total magnetization in μB per atom: 0.000
Raw formation energy in eV/atom: -0.973

a = 7.269 Å, b = 7.808 Å, c = 18.538 Å
α = 90.00°, β = 90.00°, γ = 90.00°
Fractional coordinates of all 24 atoms:
Br 0.972 0.052 0.325
Br 0.161 0.814 0.559
Br 0.488 0.195 0.455
Br 0.512 0.695 0.045
Br 0.988 0.305 0.545
Br 0.012 0.805 0.955
Br 0.560 0.412 0.249
Br 0.839 0.314 0.941
Br 0.940 0.588 0.749
Br 0.339 0.186 0.059
Br 0.472 0.448 0.675
Br 0.661 0.686 0.441
Br 0.440 0.912 0.251
Br 0.528 0.948 0.825
Br 0.028 0.552 0.175
Br 0.060 0.088 0.751
Cs 0.657 0.951 0.623
Cs 0.843 0.049 0.123
Cs 0.343 0.451 0.877
Cs 0.157 0.549 0.377
Tl 0.636 0.974 0.367
Tl 0.136 0.526 0.633
Tl 0.364 0.474 0.133
Tl 0.864 0.026 0.867

Record 9
Cs2TlBr6 | PBE | optimized geometry

E_tot in eV per atom: -2.529
Total magnetization in μB per atom: 0.000
Raw formation energy in eV/atom: -0.961

a = 6.939 Å, b = 7.655 Å, c = 7.655 Å
α = 120.00°, β = 90.00°, γ = 90.00°
Fractional coordinates of all 9 atoms:
Br 0.732 0.828 0.657
Br 0.268 0.172 0.343
Br 0.732 0.343 0.172
Br 0.268 0.172 0.828
Br 0.732 0.828 0.172
Br 0.268 0.657 0.828
Cs 0.751 0.333 0.667
Cs 0.249 0.667 0.333
Tl 0.500 0.000 0.000

Record 10
Cs4TlBr5 | PBE | optimized geometry

E_tot in eV per atom: -3.013
Total magnetization in μB per atom: 0.000
Raw formation energy in eV/atom: -1.599

a = 7.328 Å, b = 8.894 Å, c = 8.894 Å
α = 80.23°, β = 65.67°, γ = 65.67°
Fractional coordinates of all 10 atoms:
Br 0.458 0.000 0.000
Br 0.099 0.618 0.192
Br 0.291 0.808 0.618
Br 0.909 0.382 0.808
Br 0.717 0.192 0.382
Cs 0.205 0.201 0.397
Cs 0.803 0.799 0.603
Cs 0.602 0.603 0.201
Cs 0.406 0.397 0.799
Tl 0.021 0.000 0.000

Record 11
CsTl3Br6 | PBE | optimized geometry

E_tot in eV per atom: -2.689
Total magnetization in μB per atom: 0.000
Raw formation energy in eV/atom: -0.890

a = 8.591 Å, b = 7.982 Å, c = 11.818 Å
α = 88.19°, β = 90.00°, γ = 90.00°
Fractional coordinates of all 20 atoms:
Br 0.943 0.842 0.291
Br 0.846 0.284 0.419
Br 0.785 0.368 0.080
Br 0.285 0.132 0.420
Br 0.057 0.158 0.709
Br 0.346 0.216 0.081
Br 0.154 0.716 0.581
Br 0.557 0.342 0.791
Br 0.443 0.658 0.209
Br 0.215 0.632 0.920
Br 0.715 0.868 0.580
Br 0.654 0.784 0.919
Tl 0.092 0.469 0.236
Tl 0.592 0.031 0.264
Tl 0.908 0.531 0.764
Tl 0.000 0.000 0.500
Tl 0.408 0.969 0.736
Tl 0.500 0.500 0.000
Cs 0.500 0.500 0.500
Cs 0.000 0.000 0.000

Record 12
Cs2TlBr6 | PBE | optimized geometry

E_tot in eV per atom: -2.472
Total magnetization in μB per atom: 0.108
Raw formation energy in eV/atom: -0.904

a = 6.773 Å, b = 7.853 Å, c = 9.275 Å
α = 115.04°, β = 111.04°, γ = 90.00°
Site moments in Bohr magnetons follow the coordinates.
Fractional coordinates of all 9 atoms:
Br 0.500 0.178 0.000  0.34
Br 0.876 0.116 0.746  0.00
Br 0.876 0.631 0.746  0.00
Br 0.500 0.822 0.000  0.34
Br 0.124 0.884 0.254  0.00
Br 0.124 0.369 0.254  0.00
Cs 0.665 0.668 0.336  0.01
Cs 0.335 0.332 0.664  0.01
Tl 0.000 0.000 0.000  0.00

Record 13
Cs2TlBr3 | PBE | optimized geometry

E_tot in eV per atom: -2.987
Total magnetization in μB per atom: 0.000
Raw formation energy in eV/atom: -1.471

a = 8.790 Å, b = 8.791 Å, c = 8.766 Å
α = 99.66°, β = 99.66°, γ = 120.00°
Fractional coordinates of all 12 atoms:
Br 0.759 0.745 0.235
Br 0.908 0.588 0.765
Br 0.255 0.241 0.765
Br 0.602 0.936 0.766
Br 0.412 0.092 0.235
Br 0.064 0.398 0.234
Tl 0.666 0.334 0.000
Tl 0.001 0.999 0.000
Cs 0.169 0.831 0.500
Cs 0.498 0.502 0.500
Cs 0.333 0.667 0.000
Cs 0.833 0.167 0.500

Record 14
Cs3TlBr | PBE | optimized geometry

E_tot in eV per atom: -1.910
Total magnetization in μB per atom: 0.000
Raw formation energy in eV/atom: -0.590

a = 7.011 Å, b = 7.011 Å, c = 7.011 Å
α = 90.00°, β = 90.00°, γ = 90.00°
Fractional coordinates of all 5 atoms:
Cs 0.500 0.000 0.000
Cs 0.000 0.000 0.500
Cs 0.000 0.500 0.000
Tl 0.500 0.500 0.500
Br 0.000 0.000 0.000

Record 15
CsTl2Br2 | PBE | optimized geometry

E_tot in eV per atom: -2.535
Total magnetization in μB per atom: 0.000
Raw formation energy in eV/atom: -0.749

a = 9.294 Å, b = 9.294 Å, c = 4.881 Å
α = 90.00°, β = 90.00°, γ = 90.00°
Fractional coordinates of all 10 atoms:
Tl 0.378 0.122 0.500
Tl 0.878 0.378 0.500
Tl 0.122 0.622 0.500
Tl 0.622 0.878 0.500
Cs 0.500 0.500 0.000
Cs 0.000 0.000 0.000
Br 0.849 0.651 0.000
Br 0.651 0.151 0.000
Br 0.349 0.849 0.000
Br 0.151 0.349 0.000

Record 16
CsTl5Br6 | PBE | optimized geometry

E_tot in eV per atom: -2.906
Total magnetization in μB per atom: 0.000
Raw formation energy in eV/atom: -1.013

a = 8.392 Å, b = 8.392 Å, c = 8.392 Å
α = 99.63°, β = 99.63°, γ = 119.80°
Fractional coordinates of all 12 atoms:
Br 0.733 0.733 0.251
Br 0.267 0.267 0.749
Br 0.087 0.436 0.259
Br 0.564 0.913 0.741
Br 0.913 0.564 0.741
Br 0.436 0.087 0.259
Tl 0.834 0.166 0.500
Tl 0.500 0.500 0.500
Tl 0.666 0.334 0.000
Tl 0.334 0.666 0.000
Tl 0.166 0.834 0.500
Cs 0.000 0.000 0.000

Record 17
Cs2TlBr4 | PBE | optimized geometry

E_tot in eV per atom: -2.831
Total magnetization in μB per atom: 0.000
Raw formation energy in eV/atom: -1.293

a = 5.800 Å, b = 5.800 Å, c = 10.123 Å
α = 73.35°, β = 73.35°, γ = 90.00°
Fractional coordinates of all 7 atoms:
Cs 0.642 0.642 0.716
Cs 0.358 0.358 0.284
Br 0.500 0.000 0.000
Br 0.163 0.163 0.673
Br 0.837 0.837 0.327
Br 0.000 0.500 0.000
Tl 0.000 0.000 0.000

Record 18
Cs3TlBr6 | PBE | optimized geometry

E_tot in eV per atom: -2.749
Total magnetization in μB per atom: 0.000
Raw formation energy in eV/atom: -1.252

a = 8.736 Å, b = 8.736 Å, c = 8.736 Å
α = 60.00°, β = 60.00°, γ = 60.00°
Fractional coordinates of all 10 atoms:
Br 0.725 0.275 0.275
Br 0.275 0.725 0.275
Br 0.275 0.725 0.725
Br 0.275 0.275 0.725
Br 0.725 0.725 0.275
Br 0.725 0.275 0.725
Cs 0.000 0.000 0.000
Cs 0.250 0.250 0.250
Cs 0.750 0.750 0.750
Tl 0.500 0.500 0.500